1.
{"formula": "LaY2I8", "functional": "PBE-GGA", "state": "relaxed", "e_form_raw_ev_per_atom": -1.26, "lattice_angstrom": [[7.955, -5.288, 0.000], [7.955, 5.288, 0.000], [-0.172, 0.000, 7.389]], "species": ["La", "Y", "Y", "I", "I", "I", "I", "I", "I", "I", "I"], "frac_coords": [[0.000, 0.000, 0.000], [0.176, 0.176, 0.640], [0.824, 0.824, 0.360], [0.142, 0.701, 0.245], [0.175, 0.175, 0.238], [0.299, 0.858, 0.755], [0.347, 0.347, 0.750], [0.653, 0.653, 0.250], [0.701, 0.142, 0.245], [0.825, 0.825, 0.762], [0.858, 0.299, 0.755]]}

***

2.
{"formula": "NaEuGa", "functional": "PBE-GGA", "state": "relaxed", "de_polymorph_mev_per_atom": 0, "formation_energy_ev_per_atom": -0.117, "lattice_angstrom": [[-1.910, 1.910, 6.264], [1.910, -1.910, 6.264], [1.910, 1.910, -6.264]], "species": ["Na", "Eu", "Ga"], "frac_coords": [[0.000, 0.000, 0.000], [0.276, 0.276, 0.000], [0.646, 0.646, 0.000]]}

***

3.
{"formula": "Na2Ac2TeO6", "functional": "PBE-GGA", "state": "relaxed", "e_form_raw_ev_per_atom": -2.11, "lattice_angstrom": [[3.203, -5.555, 0.000], [3.203, 5.555, 0.000], [-1.371, 0.000, 5.777]], "species": ["Na", "Na", "Ac", "Ac", "Te", "O", "O", "O", "O", "O", "O"], "frac_coords": [[0.133, 0.867, 0.000], [0.867, 0.133, 0.000], [0.337, 0.663, 0.500], [0.663, 0.337, 0.500], [0.000, 0.000, 0.500], [0.032, 0.344, 0.695], [0.238, 0.238, 0.289], [0.344, 0.032, 0.695], [0.656, 0.968, 0.305], [0.762, 0.762, 0.711], [0.968, 0.656, 0.305]]}

***

4.
{"formula": "Ti2CdGa", "functional": "PBE-GGA", "state": "relaxed", "formation_energy_ev_per_atom": 0.158, "lattice_angstrom": [[2.174, 1.255, 4.976], [-2.174, 1.255, 4.976], [0.000, -2.511, 4.976]], "species": ["Ti", "Ti", "Cd", "Ga"], "frac_coords": [[0.000, 0.000, 0.000], [0.224, 0.224, 0.224], [0.792, 0.792, 0.792], [0.608, 0.608, 0.608]]}

***

5.
{"formula": "AcCeAlGa2", "functional": "PBE-GGA", "state": "relaxed", "formation_energy_ev_per_atom": -0.416, "lattice_angstrom": [[-2.287, 2.287, 6.142], [2.287, -2.287, 6.142], [2.287, 2.287, -6.142]], "species": ["Ac", "Ce", "Al", "Ga", "Ga"], "frac_coords": [[0.000, 0.000, 0.000], [0.750, 0.250, 0.500], [0.250, 0.750, 0.500], [0.397, 0.397, 0.000], [0.603, 0.603, 0.000]]}

***

6.
{"formula": "NpMnOs", "functional": "PBE-GGA", "state": "relaxed", "de_polymorph_mev_per_atom": 97, "formation_energy_ev_per_atom": 0.310, "lattice_angstrom": [[-1.813, 1.813, 3.864], [1.813, -1.813, 3.864], [1.813, 1.813, -3.864]], "species": ["Np", "Mn", "Os"], "frac_coords": [[0.000, 0.000, 0.000], [0.712, 0.712, 0.000], [0.323, 0.323, 0.000]]}

***

Calculated total energy for the records above, in order: -4.011 -4.991 -6.086 -4.775 -4.384 -10.804 eV/atom
Magnetic moment for the records above, in order: 1.2 7.2 0.0 1.6 0.4 0.7 μB per cell